# 1
The following is a PBE-GGA calculation of Ba2ThRu3O12 after structural relaxation, from Alexandria.

It has space group R-3m (No. 166, hexagonal axes), with a = 7.3842 Å, b = 7.3842 Å, c = 16.3368 Å, α = 90.00°, β = 90.00° and γ = 120.00°. Symmetry generates all atoms from Ba at (0.0000, 0.0000, 0.1126), Th at (0.0000, 0.0000, 0.5000), Ru at (0.0000, 0.5000, 0.0000), O at (0.0236, 0.5118, 0.8827) and O at (0.0747, 0.5374, 0.3180).

The raw formation energy comes out at -1.752 eV/atom.


# 2
The following is a PBE-GGA calculation of CeSc4 after structural relaxation, from Alexandria.

It has space group C2/m (No. 12), with a = 10.2411 Å, b = 6.4731 Å, c = 8.0403 Å, α = 90.00°, β = 108.61° and γ = 90.00°. Symmetry generates all atoms from Ce at (0.0000, 0.2091, 0.0000), Sc at (0.1005, 0.2474, 0.4022), Sc at (0.1884, 0.5000, 0.7738) and Sc at (0.1995, 0.0000, 0.7768).

The calculation puts the distance to the lowest polymorph of the same formula at 0 meV per atom.


# 3
The following is a PBE-GGA calculation of K4BaMn after structural relaxation, from Alexandria.

It has space group F-43m (No. 216), with a = 11.1697 Å, b = 11.1697 Å, c = 11.1697 Å, α = 90.00°, β = 90.00° and γ = 90.00°. Symmetry generates all atoms from K at (0.1238, 0.1238, 0.1238), Ba at (0.0000, 0.0000, 0.5000) and Mn at (0.2500, 0.2500, 0.7500).

The calculation puts the electronic total energy at -1.99 eV/atom.


# 4
The following is a PBE-GGA calculation of HgPb2Au after structural relaxation, from Alexandria.

It has space group C2/m (No. 12), with a = 7.8577 Å, b = 4.4754 Å, c = 7.1852 Å, α = 90.00°, β = 110.73° and γ = 90.00°. Symmetry generates all atoms from Hg at (0.0000, 0.0000, 0.0000), Pb at (0.2338, 0.0000, 0.7000) and Au at (0.0000, 0.5000, 0.5000).

The calculation puts the distance to the lowest polymorph of the same formula at 12 meV per atom.


# 5
The following is a PBE-GGA calculation of Sm3AgRh8 after structural relaxation, from Alexandria.

It has space group R3m (No. 160, hexagonal axes), with a = 5.3342 Å, b = 5.3342 Å, c = 26.2641 Å, α = 90.00°, β = 90.00° and γ = 120.00°. Symmetry generates all atoms from Sm at (0.0000, 0.0000, 0.0000), Sm at (0.0000, 0.0000, 0.1296), Sm at (0.0000, 0.0000, 0.6168), Ag at (0.0000, 0.0000, 0.4954), Rh at (0.0000, 0.0000, 0.3117), Rh at (0.0000, 0.0000, 0.8118), Rh at (0.9998, 0.4999, 0.0620) and Rh at (0.0014, 0.5007, 0.5615).

The calculation puts the electronic total energy at -6.83 eV/atom.


# 6
The following is a PBE-GGA calculation of Cs2NdPuO4 after structural relaxation, from Alexandria.

It has space group P2/m (No. 10), with a = 6.3652 Å, b = 3.6703 Å, c = 7.2534 Å, α = 90.00°, β = 106.94° and γ = 90.00°. Symmetry generates all atoms from Cs at (0.0000, 0.0000, 0.0000), Cs at (0.5000, 0.5000, 0.0000), Nd at (0.0000, 0.5000, 0.5000), Pu at (0.5000, 0.0000, 0.5000), O at (0.2288, 0.0000, 0.6659) and O at (0.2879, 0.5000, 0.3372).

The raw formation energy comes out at -2.383 eV/atom.


# 7
The following is a PBE-GGA calculation of Nb2TlGe2 after structural relaxation, from Alexandria.

It has space group P4/mbm (No. 127), with a = 7.4476 Å, b = 7.4476 Å, c = 3.4458 Å, α = 90.00°, β = 90.00° and γ = 90.00°. Symmetry generates all atoms from Nb at (0.1413, 0.3587, 0.0000), Tl at (0.0000, 0.0000, 0.0000) and Ge at (0.1487, 0.6487, 0.5000).

The calculation puts the distance to the lowest polymorph of the same formula at 0 meV per atom.


# 8
The following is a PBE-GGA calculation of Sc2ZnCuH after structural relaxation, from Alexandria.

It has space group P4/mmm (No. 123), with a = 4.5597 Å, b = 4.5597 Å, c = 3.5467 Å, α = 90.00°, β = 90.00° and γ = 90.00°. Symmetry generates all atoms from Sc at (0.0000, 0.5000, 0.0000), Zn at (0.0000, 0.0000, 0.5000), Cu at (0.5000, 0.5000, 0.5000) and H at (0.5000, 0.5000, 0.0000).

The calculation puts the distance to the lowest polymorph of the same formula at 0 meV per atom.


# 9
The following is a PBE-GGA calculation of In4BrCl3 after structural relaxation, from Alexandria.

It has space group C2/m (No. 12), with a = 13.0258 Å, b = 9.2001 Å, c = 4.5979 Å, α = 90.00°, β = 90.17° and γ = 90.00°. Symmetry generates all atoms from In at (0.0000, 0.2419, 0.0000), In at (0.2465, 0.0000, 0.4994), Br at (0.0000, 0.5000, 0.5000), Cl at (0.0000, 0.0000, 0.5000) and Cl at (0.2500, 0.2500, 0.0000).

The raw formation energy comes out at -0.753 eV/atom. The calculation puts the distance to the lowest polymorph of the same formula at 9 meV per atom.


# 10
The following is a PBE-GGA calculation of LiCaPuO3 after structural relaxation, from Alexandria.

It has space group P2_1/m (No. 11), with a = 6.9043 Å, b = 3.3787 Å, c = 7.1567 Å, α = 90.00°, β = 98.97° and γ = 90.00°. Symmetry generates all atoms from Li at (0.0849, 0.2500, 0.0813), Ca at (0.2884, 0.7500, 0.8259), Pu at (0.3110, 0.7500, 0.3458), O at (0.0052, 0.2500, 0.8187), O at (0.3472, 0.2500, 0.5866) and O at (0.3621, 0.2500, 0.1287).

The raw formation energy comes out at -2.554 eV/atom.


# 11
The following is a PBE-GGA calculation of Fe3C5 after structural relaxation, from Alexandria.

It has space group Cmmm (No. 65), with a = 4.8684 Å, b = 6.1786 Å, c = 4.2062 Å, α = 90.00°, β = 90.00° and γ = 90.00°. Symmetry generates all atoms from Fe at (0.0000, 0.0000, 0.0000), Fe at (0.0000, 0.3131, 0.5000), C at (0.0000, 0.5000, 0.0000), C at (0.1446, 0.0000, 0.5000) and C at (0.2500, 0.2500, 0.0000).

The calculation puts the distance to the lowest polymorph of the same formula at 722 meV per atom.


# 12
The following is a PBE-GGA calculation of Na2In3Bi after structural relaxation, from Alexandria.

It has space group Pmm2 (No. 25), with a = 3.4900 Å, b = 5.2643 Å, c = 9.2562 Å, α = 90.00°, β = 90.00° and γ = 90.00°. Symmetry generates all atoms from Na at (0.0000, 0.0000, 0.0000), Na at (0.0000, 0.5000, 0.4964), In at (0.5000, 0.0000, 0.6763), In at (0.5000, 0.5000, 0.1503), In at (0.5000, 0.5000, 0.8273) and Bi at (0.5000, 0.0000, 0.3366).

The calculation puts the distance to the lowest polymorph of the same formula at 13 meV per atom.


How do the records compare in DOS at the Fermi energy? In the order shown, they have 0.492, 1.794, 1.296, 0.278, 0.733, 0.704, 0.784, 0.693, 0.000, 0.819, 0.690, 0.355 states/eV per atom.